A plane-wave DFT calculation with PBE was carried out for PmMg11Ru after structural relaxation.

a = 5.6894 Å, b = 7.6872 Å, c = 7.7260 Å
α = 82.21°, β = 68.40°, γ = 68.41°
Closest atoms and distances in Å follow each position.
Positions (direct):
1 Pm 0.0000 0.0000 0.0000  18 Mg 3.50-3.86, 2 Ru 3.85
2 Mg 0.3039 0.2225 0.2040  1 Ru 2.80, 6 Mg 2.90-3.10
3 Mg 0.6961 0.7775 0.7960  1 Ru 2.80, 6 Mg 2.90-3.10
4 Mg 0.4921 0.7775 0.2040  1 Ru 2.80, 6 Mg 2.90-3.10
5 Mg 0.5079 0.2225 0.7960  1 Ru 2.80, 6 Mg 2.90-3.10
6 Mg 0.3665 0.6369 0.6686  1 Ru 2.89, 5 Mg 2.97-3.15
7 Mg 0.6335 0.3631 0.3314  1 Ru 2.89, 5 Mg 2.97-3.15
8 Mg 0.9649 0.3631 0.6686  1 Ru 2.89, 5 Mg 2.97-3.15
9 Mg 0.0351 0.6369 0.3314  1 Ru 2.89, 5 Mg 2.97-3.15
10 Mg 0.0000 0.5000 0.0000  2 Ru 2.84, 8 Mg 2.90-2.99
11 Mg 0.5000 0.0000 0.5000  8 Mg 2.84-3.15
12 Mg 0.0000 0.0000 0.5000  8 Mg 2.84-3.15
13 Ru 0.5000 0.5000 0.0000  10 Mg 2.80-2.89

Formation energy from the elements ... -0.05 eV/atom
Calculated volume ... 22.471 Å³/atom

=====

A plane-wave DFT calculation with PBE was carried out for Pm5Mg2Ru2 after structural relaxation.

a = 7.8108 Å, b = 7.6122 Å, c = 9.4216 Å
α = 113.83°, β = 90.00°, γ = 90.00°
Closest atoms and distances in Å follow each position.
Positions (direct):
1 Pm 0.0000 0.0000 0.0000  4 Ru 2.97-3.02
2 Pm 0.5000 0.5000 0.0000  4 Ru 2.97-3.02
3 Pm 0.8299 0.7790 0.2220  3 Ru 2.86-3.08
4 Pm 0.1701 0.4429 0.2220  3 Ru 2.86-3.08
5 Pm 0.3299 0.9429 0.2220  3 Ru 2.86-3.08
6 Pm 0.6701 0.2790 0.2220  3 Ru 2.86-3.08
7 Pm 0.1701 0.2210 0.7780  3 Ru 2.86-3.08
8 Pm 0.8299 0.5571 0.7780  3 Ru 2.86-3.08
9 Pm 0.6701 0.0571 0.7780  3 Ru 2.86-3.08
10 Pm 0.3299 0.7210 0.7780  3 Ru 2.86-3.08
11 Mg 0.0000 0.2232 0.4463  6 Pm 3.40-3.47
12 Mg 0.5000 0.7232 0.4463  6 Pm 3.40-3.47
13 Mg 0.0000 0.7768 0.5537  6 Pm 3.40-3.47
14 Mg 0.5000 0.2768 0.5537  6 Pm 3.40-3.47
15 Ru 0.6367 0.8645 0.0000  8 Pm 2.86-3.08, 1 Ru 2.97
16 Ru 0.3633 0.1355 0.0000  8 Pm 2.86-3.08, 1 Ru 2.97
17 Ru 0.1367 0.6355 0.0000  8 Pm 2.86-3.08, 1 Ru 2.97
18 Ru 0.8633 0.3645 0.0000  8 Pm 2.86-3.08, 1 Ru 2.97

Formation energy from the elements ... -0.13 eV/atom
Calculated volume ... 28.469 Å³/atom

=====

A plane-wave DFT calculation with PBE was carried out for PmMgScRu after structural relaxation.

a = 4.9490 Å, b = 4.9490 Å, c = 4.9490 Å
α = 60.00°, β = 60.00°, γ = 60.00°
Closest atoms and distances in Å follow each position.
Positions (direct):
1 Sc 0.2500 0.2500 0.2500  4 Mg 3.03, 4 Ru 3.03
2 Ru 0.0000 0.0000 0.0000  4 Sc 3.03, 4 Pm 3.03
3 Mg 0.5000 0.5000 0.5000  4 Sc 3.03, 4 Pm 3.03
4 Pm 0.7500 0.7500 0.7500  4 Ru 3.03, 4 Mg 3.03

Formation energy from the elements ... -0.15 eV/atom
Calculated volume ... 21.428 Å³/atom